Record 1
Entry from the Alexandria database: crystalline Ce2HoS3 at its relaxed geometry (PBE).

The structure belongs to space group I4/mmm (No. 139); the cell edges are 3.973, 3.973 and 16.831 Å and the angles 90.00°, 90.00° and 90.00°. The inequivalent atoms are Ce at (0.000, 0.000, 0.168), Ho at (0.000, 0.000, 0.500), S at (0.000, 0.000, 0.000) and S at (0.000, 0.000, 0.338).

The raw formation energy comes out at -2.023 eV per atom. For the total energy, the calculation gives -6.827 eV/atom. The volume is 22.1 Å³ per atom.


Record 2
Entry from the Alexandria database: crystalline Ce2Ho2S7 at its relaxed geometry (PBE).

The structure belongs to space group Imm2 (No. 44); the cell edges are 3.964, 13.882 and 8.597 Å and the angles 90.00°, 90.00° and 90.00°. The inequivalent atoms are Ce at (0.000, 0.240, 0.000), Ho at (0.000, 0.000, 0.248), Ho at (0.000, 0.500, 0.207), S at (0.000, 0.000, 0.927), S at (0.000, 0.110, 0.524), S at (0.000, 0.315, 0.305) and S at (0.000, 0.363, 0.697).

The raw formation energy comes out at -1.878 eV per atom. For the total energy, the calculation gives -6.416 eV/atom. The volume is 21.5 Å³ per atom.


Record 3
Entry from the Alexandria database: crystalline CeHo3S4 at its relaxed geometry (PBE).

The structure belongs to space group Pm-3m (No. 221); the cell edges are 5.544, 5.544 and 5.544 Å and the angles 90.00°, 90.00° and 90.00°. The inequivalent atoms are Ce at (0.000, 0.000, 0.000), Ho at (0.000, 0.500, 0.500), S at (0.000, 0.000, 0.500) and S at (0.500, 0.500, 0.500).

The raw formation energy comes out at -1.982 eV per atom. For the total energy, the calculation gives -6.504 eV/atom. The volume is 21.3 Å³ per atom. The calculation puts the offset from the most stable computed form at 0.014 eV per atom.


Record 4
Entry from the Alexandria database: crystalline CeHo4S6 at its relaxed geometry (PBE).

The structure belongs to space group Cmcm (No. 63); the cell edges are 3.871, 12.846 and 19.706 Å and the angles 90.00°, 90.00° and 90.00°. The inequivalent atoms are Ce at (0.000, 0.155, 0.250), Ho at (0.000, 0.092, 0.627), Ho at (0.000, 0.361, 0.540), S at (0.000, 0.000, 0.000), S at (0.000, 0.184, 0.750), S at (0.000, 0.268, 0.089) and S at (0.000, 0.454, 0.665).

The raw formation energy comes out at -2.032 eV per atom. For the total energy, the calculation gives -6.487 eV/atom. The volume is 22.3 Å³ per atom.


Record 5
Entry from the Alexandria database: crystalline CeHo2S3 at its relaxed geometry (PBE).

The structure belongs to space group Immm (No. 71); the cell edges are 3.908, 5.572 and 11.837 Å and the angles 90.00°, 90.00° and 90.00°. The inequivalent atoms are Ce at (0.000, 0.000, 0.000), Ho at (0.000, 0.000, 0.335), S at (0.000, 0.500, 0.000) and S at (0.000, 0.500, 0.326).

The raw formation energy comes out at -1.999 eV per atom. For the total energy, the calculation gives -6.577 eV/atom. The volume is 21.5 Å³ per atom.


Record 6
Entry from the Alexandria database: crystalline CeHo4S7 at its relaxed geometry (PBE).

The structure belongs to space group C2/m (No. 12); the cell edges are 13.019, 3.812 and 11.599 Å and the angles 90.00°, 104.88° and 90.00°. The inequivalent atoms are Ce at (0.000, 0.000, 0.000), Ho at (0.112, 0.000, 0.423), Ho at (0.200, 0.500, 0.811), S at (0.000, 0.500, 0.500), S at (0.045, 0.000, 0.780), S at (0.165, 0.500, 0.054) and S at (0.239, 0.500, 0.354).

The raw formation energy comes out at -2.026 eV per atom. For the total energy, the calculation gives -6.454 eV/atom. The volume is 23.2 Å³ per atom. The calculation puts the offset from the most stable computed form at 0.004 eV per atom.


Record 7
Entry from the Alexandria database: crystalline Ce2HoS5 at its relaxed geometry (PBE).

The structure belongs to space group Pnma (No. 62); the cell edges are 11.819, 8.076 and 7.406 Å and the angles 90.00°, 90.00° and 90.00°. The inequivalent atoms are Ce at (0.179, 0.000, 0.016), Ho at (0.008, 0.250, 0.574), S at (0.003, 0.250, 0.962), S at (0.101, 0.539, 0.662), S at (0.186, 0.250, 0.327) and S at (0.213, 0.750, 0.300).

The raw formation energy comes out at -1.959 eV per atom. For the total energy, the calculation gives -6.595 eV/atom. The volume is 22.1 Å³ per atom.


Record 8
Entry from the Alexandria database: crystalline CeHo4S7 at its relaxed geometry (PBE).

The structure belongs to space group Cm (No. 8); the cell edges are 12.956, 3.809 and 11.658 Å and the angles 90.00°, 104.49° and 90.00°. The inequivalent atoms are Ce at (0.000, 0.000, 0.000), Ho at (0.113, 0.000, 0.423), Ho at (0.225, 0.000, 0.838), Ho at (0.313, 0.500, 0.236), Ho at (0.412, 0.000, 0.607), S at (0.069, 0.000, 0.635), S at (0.115, 0.500, 0.914), S at (0.158, 0.000, 0.211), S at (0.271, 0.500, 0.471), S at (0.350, 0.500, 0.767), S at (0.364, 0.000, 0.070) and S at (0.455, 0.000, 0.371).

The raw formation energy comes out at -2.030 eV per atom. For the total energy, the calculation gives -6.458 eV/atom. The volume is 23.2 Å³ per atom. The calculation puts the offset from the most stable computed form at 0.000 eV per atom.


Record 9
Entry from the Alexandria database: crystalline Ce2Ho2S5 at its relaxed geometry (PBE).

The structure belongs to space group Cmce (No. 64); the cell edges are 14.074, 7.484 and 7.462 Å and the angles 90.00°, 90.00° and 90.00°. The inequivalent atoms are Ce at (0.198, 0.000, 0.000), Ho at (0.000, 0.156, 0.341), S at (0.000, 0.000, 0.000) and S at (0.132, 0.157, 0.652).

The raw formation energy comes out at -1.920 eV per atom. For the total energy, the calculation gives -6.549 eV/atom. The volume is 21.8 Å³ per atom.


Record 10
Entry from the Alexandria database: crystalline CeHoS4 at its relaxed geometry (PBE).

The structure belongs to space group C2/c (No. 15); the cell edges are 9.171, 11.222 and 6.872 Å and the angles 90.00°, 128.72° and 90.00°. The inequivalent atoms are Ce at (0.000, 0.129, 0.250), Ho at (0.000, 0.485, 0.750), S at (0.143, 0.322, 0.603) and S at (0.207, 0.063, 0.754).

The raw formation energy comes out at -1.591 eV per atom. For the total energy, the calculation gives -6.095 eV/atom. The volume is 23.0 Å³ per atom. The calculation puts the offset from the most stable computed form at 0.000 eV per atom.


Record 11
Entry from the Alexandria database: crystalline Ce2Ho3S8 at its relaxed geometry (PBE).

The structure belongs to space group Cmmm (No. 65); the cell edges are 9.591, 13.481 and 4.655 Å and the angles 90.00°, 90.00° and 90.00°. The inequivalent atoms are Ce at (0.000, 0.235, 0.000), Ho at (0.000, 0.500, 0.000), Ho at (0.219, 0.000, 0.500), S at (0.000, 0.125, 0.500), S at (0.000, 0.382, 0.500) and S at (0.240, 0.379, 0.000).

The raw formation energy comes out at -1.841 eV per atom. For the total energy, the calculation gives -6.351 eV/atom. The volume is 23.2 Å³ per atom.


Record 12
Entry from the Alexandria database: crystalline Ce2HoScS6 at its relaxed geometry (PBE).

The structure belongs to space group R3 (No. 146, hexagonal axes); the cell edges are 6.9585, 6.9585 and 18.1187 Å and the angles 90.00°, 90.00° and 120.00°. The inequivalent atoms are Ce at (0.0000, 0.0000, 0.0000), Ce at (0.0000, 0.0000, 0.4985), Ho at (0.0000, 0.0000, 0.2919), Sc at (0.0000, 0.0000, 0.7946), S at (0.0113, 0.3858, 0.0562) and S at (0.0287, 0.6376, 0.5536).

The raw formation energy comes out at -1.943 eV per atom. For the total energy, the calculation gives -6.697 eV/atom. The volume is 25.3 Å³ per atom.


Record 13
Entry from the Alexandria database: crystalline Ce4Ho3ScS8 at its relaxed geometry (PBE).

The structure belongs to space group R-3m (No. 166, hexagonal axes); the cell edges are 7.8142, 7.8142 and 19.5155 Å and the angles 90.00°, 90.00° and 120.00°. The inequivalent atoms are Ce at (0.0000, 0.0000, 0.0000), Ce at (0.0000, 0.5000, 0.0000), Ho at (0.0000, 0.5000, 0.5000), Sc at (0.0000, 0.0000, 0.5000), S at (0.0000, 0.0000, 0.2455) and S at (0.0068, 0.5034, 0.2440).

The raw formation energy comes out at -1.998 eV per atom. For the total energy, the calculation gives -6.800 eV/atom. The volume is 21.5 Å³ per atom.


Record 14
Entry from the Alexandria database: crystalline CeHo4ScS8 at its relaxed geometry (PBE).

The structure belongs to space group R3m (No. 160, hexagonal axes); the cell edges are 8.0754, 8.0754 and 19.2690 Å and the angles 90.00°, 90.00° and 120.00°. The inequivalent atoms are Ce at (0.0000, 0.0000, 0.0000), Ho at (0.0000, 0.0000, 0.2404), Ho at (0.9999, 0.5000, 0.1194), Sc at (0.0000, 0.0000, 0.6194), S at (0.0000, 0.0000, 0.3754), S at (0.0000, 0.0000, 0.8595), S at (0.0397, 0.5199, 0.3702) and S at (0.1799, 0.3598, 0.2032).

The raw formation energy comes out at -1.885 eV per atom. For the total energy, the calculation gives -6.428 eV/atom. The volume is 25.9 Å³ per atom.


Record 15
Entry from the Alexandria database: crystalline Ce2HoScS4 at its relaxed geometry (PBE).

The structure belongs to space group P2/m (No. 10); the cell edges are 6.717, 3.873 and 6.871 Å and the angles 90.00°, 108.98° and 90.00°. The inequivalent atoms are Ce at (0.000, 0.000, 0.000), Ce at (0.500, 0.500, 0.000), Ho at (0.000, 0.500, 0.500), Sc at (0.500, 0.000, 0.500), S at (0.251, 0.000, 0.732) and S at (0.264, 0.500, 0.273).

The raw formation energy comes out at -1.977 eV per atom. For the total energy, the calculation gives -6.888 eV/atom. The volume is 21.1 Å³ per atom.


Record 16
Entry from the Alexandria database: crystalline Ce3Ho3ScS8 at its relaxed geometry (PBE).

The structure belongs to space group R-3m (No. 166, hexagonal axes); the cell edges are 7.8161, 7.8161 and 19.5414 Å and the angles 90.00°, 90.00° and 120.00°. The inequivalent atoms are Ce at (0.0000, 0.5000, 0.0000), Ho at (0.0000, 0.5000, 0.5000), Sc at (0.0000, 0.0000, 0.5000), S at (0.0000, 0.0000, 0.2454) and S at (0.0073, 0.5037, 0.2439).

The raw formation energy comes out at -2.026 eV per atom. For the total energy, the calculation gives -6.752 eV/atom. The volume is 23.0 Å³ per atom.


Record 17
Entry from the Alexandria database: crystalline CeHoSc2S6 at its relaxed geometry (PBE).

The structure belongs to space group R3 (No. 146, hexagonal axes); the cell edges are 6.7702, 6.7702 and 17.8219 Å and the angles 90.00°, 90.00° and 120.00°. The inequivalent atoms are Ce at (0.0000, 0.0000, 0.0000), Ho at (0.0000, 0.0000, 0.5075), Sc at (0.0000, 0.0000, 0.2048), Sc at (0.0000, 0.0000, 0.7084), S at (0.0432, 0.3487, 0.7806) and S at (0.0638, 0.7149, 0.2806).

The raw formation energy comes out at -1.929 eV per atom. For the total energy, the calculation gives -6.723 eV/atom. The volume is 23.6 Å³ per atom.


Record 18
Entry from the Alexandria database: crystalline CeHo2Sc3S6 at its relaxed geometry (PBE).

The structure belongs to space group C2/m (No. 12); the cell edges are 16.613, 3.801 and 7.662 Å and the angles 90.00°, 103.34° and 90.00°. The inequivalent atoms are Ce at (0.000, 0.000, 0.000), Ho at (0.165, 0.500, 0.330), Sc at (0.000, 0.000, 0.500), Sc at (0.165, 0.500, 0.837), S at (0.003, 0.500, 0.733), S at (0.165, 0.000, 0.591) and S at (0.174, 0.000, 0.079).

The raw formation energy comes out at -1.924 eV per atom. For the total energy, the calculation gives -6.828 eV/atom. The volume is 19.6 Å³ per atom.


Record 19
Entry from the Alexandria database: crystalline CeHoSeS at its relaxed geometry (PBE).

The structure belongs to space group R3m (No. 160, hexagonal axes); the cell edges are 4.0066, 4.0066 and 20.1907 Å and the angles 90.00°, 90.00° and 120.00°. The inequivalent atoms are Ce at (0.0000, 0.0000, 0.0000), Ho at (0.0000, 0.0000, 0.4872), Se at (0.0000, 0.0000, 0.2396) and S at (0.0000, 0.0000, 0.7489).

The raw formation energy comes out at -1.905 eV per atom. For the total energy, the calculation gives -6.436 eV/atom. The volume is 23.4 Å³ per atom.


Record 20
Entry from the Alexandria database: crystalline CeHoSeS2 at its relaxed geometry (PBE).

The structure belongs to space group Cmcm (No. 63); the cell edges are 6.218, 13.502 and 6.216 Å and the angles 90.00°, 90.00° and 90.00°. The inequivalent atoms are Ce at (0.000, 0.122, 0.250), Ho at (0.000, 0.394, 0.250), Se at (0.000, 0.250, 0.750) and S at (0.249, 0.000, 0.000).

The raw formation energy comes out at -1.569 eV per atom. For the total energy, the calculation gives -6.019 eV/atom. The volume is 26.1 Å³ per atom.